P) Computed, not measured: a relaxed NdAl2Ni2 crystal at the PBE-GGA level of DFT.

Unit cell a=5.550 b=9.436 c=7.361 alpha=90.00 beta=112.14 gamma=90.00
Space group C2/c (No. 15)
One atom of each set of equivalent atoms:
Nd 0.000 0.125 0.250 x4
Al 0.111 0.375 0.973 x8
Ni 0.000 0.178 0.750 x4
Ni 0.000 0.428 0.250 x4

Output
- Total magnetic moment: 0.00 μB/f.u.
- Density of states at the Fermi level: 10.87 states/eV/cell

***

Q) Computed, not measured: a relaxed NdAl2Ni2 crystal at the PBE-GGA level of DFT.

Unit cell a=4.182 b=4.182 c=19.803 alpha=90.00 beta=90.00 gamma=90.00
Space group I4/mmm (No. 139)
One atom of each set of equivalent atoms:
Nd 0.000 0.000 0.128 x4
Al 0.000 0.000 0.311 x4
Al 0.000 0.500 0.000 x4
Ni 0.000 0.000 0.434 x4
Ni 0.000 0.500 0.250 x4

Output
- Total magnetic moment: 0.00 μB/f.u.
- Density of states at the Fermi level: 18.44 states/eV/cell

***

Stability ranking, top and bottom: Q) is the most stable and P) is the least stable.

***

P) Computed, not measured: a relaxed Sr3NdTaAl3O12 crystal at the PBE-GGA level of DFT.

Unit cell a=5.463 b=9.522 c=9.522 alpha=109.72 beta=90.03 gamma=90.02
Space group P1 (No. 1)
One atom of each set of equivalent atoms:
Sr 0.000 0.000 0.000 x1
Sr 0.000 0.251 0.749 x1
Sr 0.499 0.765 0.772 x1
Sr 0.500 0.023 0.514 x1
Sr 0.501 0.241 0.262 x1
Sr 0.501 0.513 0.990 x1
Nd 0.002 0.498 0.533 x1
Nd 0.002 0.784 0.247 x1
Ta 0.500 0.641 0.390 x1
Ta 0.997 0.378 0.127 x1
Al 0.000 0.134 0.387 x1
Al 0.000 0.638 0.883 x1
Al 0.006 0.887 0.636 x1
Al 0.501 0.381 0.637 x1
Al 0.501 0.888 0.130 x1
Al 0.503 0.130 0.878 x1
O 0.000 0.263 0.266 x1
O 0.000 0.753 0.751 x1
O 0.001 0.003 0.502 x1
O 0.001 0.518 0.012 x1
O 0.184 0.539 0.289 x1
O 0.234 0.020 0.769 x1
O 0.242 0.004 0.257 x1
O 0.242 0.508 0.752 x1
O 0.249 0.263 0.508 x1
O 0.249 0.759 0.011 x1
O 0.280 0.272 0.021 x1
O 0.282 0.780 0.529 x1
O 0.498 0.762 0.257 x1
O 0.500 0.508 0.512 x1
O 0.501 0.010 0.008 x1
O 0.501 0.259 0.759 x1
O 0.690 0.486 0.234 x1
O 0.736 0.997 0.745 x1
O 0.751 0.007 0.261 x1
O 0.751 0.512 0.757 x1
O 0.760 0.267 0.511 x1
O 0.760 0.762 0.016 x1
O 0.771 0.242 0.991 x1
O 0.801 0.739 0.487 x1

Output
- Total magnetic moment: 0.64 μB/f.u.
- Density of states at the Fermi level: 14.06 states/eV/cell

***

Q) Computed, not measured: a relaxed Sr3NdTaAl3O12 crystal at the PBE-GGA level of DFT.

Unit cell a=15.559 b=10.988 c=5.461 alpha=90.00 beta=90.09 gamma=90.00
Space group C2 (No. 5)
One atom of each set of equivalent atoms:
Sr 0.000 0.000 0.000 x2
Sr 0.000 0.232 0.500 x2
Sr 0.239 0.236 0.500 x4
Sr 0.249 0.987 0.001 x4
Nd 0.000 0.466 0.000 x2
Nd 0.000 0.736 0.500 x2
Ta 0.130 0.735 0.999 x4
Al 0.121 0.236 0.001 x4
Al 0.124 0.991 0.502 x4
Al 0.126 0.482 0.498 x4
O 0.000 0.236 0.000 x2
O 0.000 0.507 0.500 x2
O 0.000 0.713 0.000 x2
O 0.000 0.990 0.500 x2
O 0.116 0.854 0.269 x4
O 0.116 0.865 0.753 x4
O 0.117 0.361 0.251 x4
O 0.117 0.368 0.761 x4
O 0.127 0.109 0.245 x4
O 0.127 0.115 0.748 x4
O 0.129 0.602 0.242 x4
O 0.129 0.616 0.727 x4
O 0.245 0.246 0.000 x4
O 0.248 0.976 0.501 x4

Output
- Total magnetic moment: 0.58 μB/f.u.
- Density of states at the Fermi level: 33.04 states/eV/cell

***

Stability ranking, top and bottom: P) is the most stable and Q) is the least stable.

***

P) Computed, not measured: a relaxed Nd4AlOs crystal at the PBE-GGA level of DFT.

Unit cell a=8.774 b=13.450 c=6.265 alpha=90.00 beta=108.05 gamma=90.00
Space group C2/c (No. 15)
One atom of each set of equivalent atoms:
Nd 0.111 0.171 0.048 x8
Nd 0.212 0.425 0.393 x8
Al 0.000 0.377 0.750 x4
Os 0.000 0.001 0.250 x4

Output
- Total magnetic moment: 0.00 μB/f.u.
- Density of states at the Fermi level: 27.47 states/eV/cell

***

Q) Computed, not measured: a relaxed Nd4AlOs crystal at the PBE-GGA level of DFT.

Unit cell a=13.924 b=13.924 c=13.924 alpha=90.00 beta=90.00 gamma=90.00
Space group F-43m (No. 216)
One atom of each set of equivalent atoms:
Nd 0.000 0.000 0.191 x24
Nd 0.054 0.250 0.250 x24
Nd 0.099 0.099 0.599 x16
Al 0.175 0.175 0.825 x16
Os 0.112 0.112 0.388 x16

Output
- Total magnetic moment: 0.00 μB/f.u.
- Density of states at the Fermi level: 76.47 states/eV/cell

***

Stability ranking, top and bottom: Q) is the most stable and P) is the least stable.

***

P) Computed, not measured: a relaxed Nd2PaAl crystal at the PBE-GGA level of DFT.

Unit cell a=7.589 b=7.589 c=7.589 alpha=90.00 beta=90.00 gamma=90.00
Space group Fm-3m (No. 225)
One atom of each set of equivalent atoms:
Nd 0.250 0.250 0.250 x8
Pa 0.000 0.000 0.000 x4
Al 0.000 0.000 0.500 x4

Output
- Total magnetic moment: 0.00 μB/f.u.
- Density of states at the Fermi level: 23.79 states/eV/cell

***

Q) Computed, not measured: a relaxed Nd2PaAl crystal at the PBE-GGA level of DFT.

Unit cell a=3.459 b=3.459 c=9.249 alpha=90.00 beta=90.00 gamma=90.00
Space group P4/mmm (No. 123)
One atom of each set of equivalent atoms:
Nd 0.000 0.000 0.228 x2
Pa 0.500 0.500 0.500 x1
Al 0.500 0.500 0.000 x1

Output
- Total magnetic moment: 0.50 μB/f.u.
- Density of states at the Fermi level: 5.30 states/eV/cell

***

Stability ranking, top and bottom: Q) is the most stable and P) is the least stable.

***

P) Computed, not measured: a relaxed NdPaAl crystal at the PBE-GGA level of DFT.

Unit cell a=3.949 b=3.949 c=9.868 alpha=90.00 beta=90.00 gamma=90.00
Space group I4mm (No. 107)
One atom of each set of equivalent atoms:
Nd 0.000 0.000 0.000 x2
Pa 0.000 0.000 0.693 x2
Al 0.000 0.000 0.342 x2

Output
- Total magnetic moment: 0.00 μB/f.u.
- Density of states at the Fermi level: 10.90 states/eV/cell

***

Q) Computed, not measured: a relaxed NdPaAl crystal at the PBE-GGA level of DFT.

Unit cell a=5.2033 b=5.2033 c=3.0668 alpha=90.00 beta=90.00 gamma=120.00
Space group P3m1 (No. 156)
One atom of each set of equivalent atoms:
Nd 0.0000 0.0000 0.0000 x1
Pa 0.3333 0.6667 0.0047 x1
Al 0.6667 0.3333 0.5046 x1

Output
- Total magnetic moment: 0.00 μB/f.u.
- Density of states at the Fermi level: 3.95 states/eV/cell

***

Stability ranking, top and bottom: P) is the most stable and Q) is the least stable.

***

P) Computed, not measured: a relaxed Nd2Al5Pd3 crystal at the PBE-GGA level of DFT.

Unit cell a=4.414 b=25.575 c=6.787 alpha=90.00 beta=90.00 gamma=90.00
Space group Cmc2_1 (No. 36)
One atom of each set of equivalent atoms:
Nd 0.000 0.018 0.000 x4
Nd 0.000 0.325 0.030 x4
Al 0.000 0.104 0.346 x4
Al 0.000 0.208 0.844 x4
Al 0.000 0.212 0.242 x4
Al 0.000 0.373 0.510 x4
Al 0.000 0.444 0.177 x4
Pd 0.000 0.108 0.744 x4
Pd 0.000 0.274 0.545 x4
Pd 0.000 0.447 0.787 x4

Output
- Total magnetic moment: 0.00 μB/f.u.
- Density of states at the Fermi level: 22.78 states/eV/cell

***

Q) Computed, not measured: a relaxed Nd2Al5Pd3 crystal at the PBE-GGA level of DFT.

Unit cell a=10.466 b=12.754 c=5.830 alpha=90.00 beta=90.00 gamma=90.00
Space group Ibam (No. 72)
One atom of each set of equivalent atoms:
Nd 0.224 0.140 0.000 x8
Al 0.000 0.000 0.250 x4
Al 0.000 0.287 0.250 x8
Al 0.164 0.405 0.000 x8
Pd 0.000 0.500 0.250 x4
Pd 0.100 0.141 0.500 x8

Output
- Total magnetic moment: 0.00 μB/f.u.
- Density of states at the Fermi level: 21.18 states/eV/cell

***

Stability ranking, top and bottom: Q) is the most stable and P) is the least stable.